Entry 1:
# PBE-GGA Y4TmTe5, optimized geometry
data_Y4TmTe5
_chemical_formula_sum 'Y8 Tm2 Te10'
_cell_length_a 4.2813
_cell_length_b 4.2813
_cell_length_c 32.0297
_cell_angle_alpha 90.00
_cell_angle_beta 90.00
_cell_angle_gamma 90.00
_symmetry_space_group_name_H-M 'I 4/m m m'
_symmetry_Int_Tables_number 139
_symmetry_space_group_name_Hall '-I 4 2'
loop_
_atom_site_label
_atom_site_type_symbol
_atom_site_fract_x
_atom_site_fract_y
_atom_site_fract_z
Y1 Y 0.0000 0.0000 0.1099
Y2 Y 0.0000 0.0000 0.3123
Tm1 Tm 0.0000 0.0000 0.5000
Te1 Te 0.0000 0.0000 0.0000
Te2 Te 0.0000 0.0000 0.2077
Te3 Te 0.0000 0.0000 0.4070
# Uncorrected energy in eV/atom: -5.893
# Polymorph energy (0 for the lowest one) in eV per atom: 0.000
# Raw formation energy in eV/atom: -1.289

=====

Entry 2:
# PBE-GGA YTmTe2, optimized geometry
data_YTmTe2
_chemical_formula_sum 'Y3 Tm3 Te6'
_cell_length_a 4.1886
_cell_length_b 4.1886
_cell_length_c 22.8241
_cell_angle_alpha 90.00
_cell_angle_beta 90.00
_cell_angle_gamma 120.00
_symmetry_space_group_name_H-M 'R 3 m'
_symmetry_Int_Tables_number 160
_symmetry_space_group_name_Hall 'R 3 -2"'
loop_
_atom_site_label
_atom_site_type_symbol
_atom_site_fract_x
_atom_site_fract_y
_atom_site_fract_z
Y1 Y 0.0000 0.0000 0.0000
Tm1 Tm 0.0000 0.0000 0.1731
Te1 Te 0.0000 0.0000 0.5838
Te2 Te 0.0000 0.0000 0.7558
# Uncorrected energy in eV/atom: -5.581
# Polymorph energy (0 for the lowest one) in eV per atom: 0.000
# Raw formation energy in eV/atom: -1.276

=====

Entry 3:
# PBE-GGA Y4TmTe7, optimized geometry
data_Y4TmTe7
_chemical_formula_sum 'Y8 Tm2 Te14'
_cell_length_a 14.2798
_cell_length_b 4.2348
_cell_length_c 13.1551
_cell_angle_alpha 90.00
_cell_angle_beta 104.20
_cell_angle_gamma 90.00
_symmetry_space_group_name_H-M 'C 1 m 1'
_symmetry_Int_Tables_number 8
loop_
_symmetry_equiv_pos_as_xyz
'x,y,z'
'x,-y,z'
'x+1/2,y+1/2,z'
'x+1/2,-y+1/2,z'
loop_
_atom_site_label
_atom_site_type_symbol
_atom_site_fract_x
_atom_site_fract_y
_atom_site_fract_z
Y1 Y 0.0000 0.0000 0.0000
Y2 Y 0.0860 0.5000 0.3885
Y3 Y 0.1842 0.0000 0.7630
Y4 Y 0.3849 0.5000 0.5745
Tm1 Tm 0.2699 0.5000 0.1516
Te1 Te 0.0456 0.5000 0.6238
Te2 Te 0.1293 0.5000 0.9285
Te3 Te 0.1448 0.0000 0.2241
Te4 Te 0.2241 0.0000 0.5273
Te5 Te 0.3475 0.5000 0.7917
Te6 Te 0.3836 0.0000 0.0769
Te7 Te 0.4220 0.5000 0.3570
# Uncorrected energy in eV/atom: -5.738
# Raw formation energy in eV/atom: -1.378

=====

Entry 4:
# PBE-GGA Y2TmTe2, optimized geometry
data_Y2TmTe2
_chemical_formula_sum 'Y4 Tm2 Te4'
_cell_length_a 6.1666
_cell_length_b 4.0940
_cell_length_c 12.0450
_cell_angle_alpha 90.00
_cell_angle_beta 100.24
_cell_angle_gamma 90.00
_symmetry_space_group_name_H-M 'P 1 21/m 1'
_symmetry_Int_Tables_number 11
loop_
_symmetry_equiv_pos_as_xyz
'x,y,z'
'-x,-y,-z'
'-x,y+1/2,-z'
'x,-y+1/2,z'
loop_
_atom_site_label
_atom_site_type_symbol
_atom_site_fract_x
_atom_site_fract_y
_atom_site_fract_z
Y1 Y 0.1094 0.2500 0.2397
Y2 Y 0.2787 0.2500 0.6226
Tm1 Tm 0.2078 0.2500 0.9656
Te1 Te 0.2371 0.7500 0.4279
Te2 Te 0.4163 0.7500 0.8205
# Uncorrected energy in eV/atom: -5.722
# Raw formation energy in eV/atom: -0.986

=====

Entry 5:
# PBE-GGA YTm3Te6, optimized geometry
data_YTm3Te6
_chemical_formula_sum 'Y2 Tm6 Te12'
_cell_length_a 12.3908
_cell_length_b 4.3190
_cell_length_c 12.6924
_cell_angle_alpha 90.00
_cell_angle_beta 109.42
_cell_angle_gamma 90.00
_symmetry_space_group_name_H-M 'P 1 21/m 1'
_symmetry_Int_Tables_number 11
loop_
_symmetry_equiv_pos_as_xyz
'x,y,z'
'-x,-y,-z'
'-x,y+1/2,-z'
'x,-y+1/2,z'
loop_
_atom_site_label
_atom_site_type_symbol
_atom_site_fract_x
_atom_site_fract_y
_atom_site_fract_z
Y1 Y 0.0448 0.2500 0.1952
Tm1 Tm 0.1560 0.2500 0.5807
Tm2 Tm 0.3160 0.7500 0.9982
Tm3 Tm 0.4324 0.2500 0.3343
Te1 Te 0.0831 0.7500 0.4009
Te2 Te 0.1117 0.2500 0.9676
Te3 Te 0.1930 0.7500 0.7504
Te4 Te 0.2540 0.7500 0.2208
Te5 Te 0.3925 0.2500 0.5614
Te6 Te 0.4818 0.2500 0.1173
# Uncorrected energy in eV/atom: -5.219
# Polymorph energy (0 for the lowest one) in eV per atom: 0.000
# Raw formation energy in eV/atom: -1.346

=====

Entry 6:
# PBE-GGA YTm3Te3, optimized geometry
data_YTm3Te3
_chemical_formula_sum 'Y6 Tm18 Te18'
_cell_length_a 7.0733
_cell_length_b 7.0733
_cell_length_c 30.7916
_cell_angle_alpha 90.00
_cell_angle_beta 90.00
_cell_angle_gamma 120.00
_symmetry_space_group_name_H-M 'R -3'
_symmetry_Int_Tables_number 148
_symmetry_space_group_name_Hall '-R 3'
loop_
_atom_site_label
_atom_site_type_symbol
_atom_site_fract_x
_atom_site_fract_y
_atom_site_fract_z
Y1 Y 0.0000 0.0000 0.1670
Tm1 Tm 0.0027 0.3459 0.3774
Te1 Te 0.0015 0.3185 0.5598
# Uncorrected energy in eV/atom: -5.095
# Raw formation energy in eV/atom: -0.909

=====

Entry 7:
# PBE-GGA YTm2Te2, optimized geometry
data_YTm2Te2
_chemical_formula_sum 'Y4 Tm8 Te8'
_cell_length_a 4.0792
_cell_length_b 17.2670
_cell_length_c 8.0408
_cell_angle_alpha 90.00
_cell_angle_beta 90.00
_cell_angle_gamma 90.00
_symmetry_space_group_name_H-M 'C m c 21'
_symmetry_Int_Tables_number 36
loop_
_symmetry_equiv_pos_as_xyz
'x,y,z'
'-x,-y,z+1/2'
'-x,y,z'
'x,-y,z+1/2'
'x+1/2,y+1/2,z'
'-x+1/2,-y+1/2,z+1/2'
'-x+1/2,y+1/2,z'
'x+1/2,-y+1/2,z+1/2'
loop_
_atom_site_label
_atom_site_type_symbol
_atom_site_fract_x
_atom_site_fract_y
_atom_site_fract_z
Y1 Y 0.0000 0.1270 0.0000
Tm1 Tm 0.0000 0.3181 0.1567
Tm2 Tm 0.0000 0.4766 0.8293
Te1 Te 0.0000 0.0532 0.6044
Te2 Te 0.0000 0.3023 0.7706
# Uncorrected energy in eV/atom: -5.274
# Raw formation energy in eV/atom: -0.936

=====

Entry 8:
# PBE-GGA YTm5Te6, optimized geometry
data_YTm5Te6
_chemical_formula_sum 'Y2 Tm10 Te12'
_cell_length_a 7.4753
_cell_length_b 12.9323
_cell_length_c 7.4618
_cell_angle_alpha 90.00
_cell_angle_beta 109.37
_cell_angle_gamma 90.00
_symmetry_space_group_name_H-M 'C 1 2/m 1'
_symmetry_Int_Tables_number 12
loop_
_symmetry_equiv_pos_as_xyz
'x,y,z'
'-x,-y,-z'
'-x,y,-z'
'x,-y,z'
'x+1/2,y+1/2,z'
'-x+1/2,-y+1/2,-z'
'-x+1/2,y+1/2,-z'
'x+1/2,-y+1/2,z'
loop_
_atom_site_label
_atom_site_type_symbol
_atom_site_fract_x
_atom_site_fract_y
_atom_site_fract_z
Y1 Y 0.0000 0.0000 0.0000
Tm1 Tm 0.0000 0.1594 0.5000
Tm2 Tm 0.0000 0.3338 0.0000
Tm3 Tm 0.0000 0.5000 0.5000
Te1 Te 0.2437 0.5000 0.2475
Te2 Te 0.2459 0.3303 0.7458
# Uncorrected energy in eV/atom: -5.164
# Raw formation energy in eV/atom: -1.192

=====

Entry 9:
# PBE-GGA YTmTe2, optimized geometry
data_YTmTe2
_chemical_formula_sum 'Y1 Tm1 Te2'
_cell_length_a 4.3369
_cell_length_b 4.3369
_cell_length_c 6.1170
_cell_angle_alpha 90.00
_cell_angle_beta 90.00
_cell_angle_gamma 90.00
_symmetry_space_group_name_H-M 'P 4/m m m'
_symmetry_Int_Tables_number 123
_symmetry_space_group_name_Hall '-P 4 2'
loop_
_atom_site_label
_atom_site_type_symbol
_atom_site_fract_x
_atom_site_fract_y
_atom_site_fract_z
Y1 Y 0.0000 0.0000 0.0000
Tm1 Tm 0.5000 0.5000 0.5000
Te1 Te 0.0000 0.0000 0.5000
Te2 Te 0.5000 0.5000 0.0000
# Uncorrected energy in eV/atom: -5.540
# Polymorph energy (0 for the lowest one) in eV per atom: 0.040
# Raw formation energy in eV/atom: -1.236

=====

Entry 10:
# PBE-GGA YTmTe2, optimized geometry
data_YTmTe2
_chemical_formula_sum 'Y4 Tm4 Te8'
_cell_length_a 7.5417
_cell_length_b 7.5417
_cell_length_c 7.5417
_cell_angle_alpha 90.00
_cell_angle_beta 90.00
_cell_angle_gamma 90.00
_symmetry_space_group_name_H-M 'F m -3 m'
_symmetry_Int_Tables_number 225
_symmetry_space_group_name_Hall '-F 4 2 3'
loop_
_atom_site_label
_atom_site_type_symbol
_atom_site_fract_x
_atom_site_fract_y
_atom_site_fract_z
Y1 Y 0.0000 0.0000 0.0000
Tm1 Tm 0.0000 0.0000 0.5000
Te1 Te 0.2500 0.2500 0.2500
# Uncorrected energy in eV/atom: -5.425
# Polymorph energy (0 for the lowest one) in eV per atom: 0.155
# Raw formation energy in eV/atom: -1.120

=====

Entry 11:
# PBE-GGA Y3TmTe2, optimized geometry
data_Y3TmTe2
_chemical_formula_sum 'Y6 Tm2 Te4'
_cell_length_a 5.2850
_cell_length_b 15.7835
_cell_length_c 3.9573
_cell_angle_alpha 90.00
_cell_angle_beta 90.00
_cell_angle_gamma 90.00
_symmetry_space_group_name_H-M 'C m m m'
_symmetry_Int_Tables_number 65
_symmetry_space_group_name_Hall '-C 2 2'
loop_
_atom_site_label
_atom_site_type_symbol
_atom_site_fract_x
_atom_site_fract_y
_atom_site_fract_z
Y1 Y 0.0000 0.0000 0.0000
Y2 Y 0.0000 0.1778 0.5000
Tm1 Tm 0.0000 0.5000 0.5000
Te1 Te 0.0000 0.3453 0.0000
# Uncorrected energy in eV/atom: -5.716
# Raw formation energy in eV/atom: -0.692

=====

Entry 12:
# PBE-GGA YTm3Te4, optimized geometry
data_YTm3Te4
_chemical_formula_sum 'Y2 Tm6 Te8'
_cell_length_a 8.7737
_cell_length_b 12.2165
_cell_length_c 4.2493
_cell_angle_alpha 90.00
_cell_angle_beta 90.00
_cell_angle_gamma 90.00
_symmetry_space_group_name_H-M 'C m m m'
_symmetry_Int_Tables_number 65
_symmetry_space_group_name_Hall '-C 2 2'
loop_
_atom_site_label
_atom_site_type_symbol
_atom_site_fract_x
_atom_site_fract_y
_atom_site_fract_z
Y1 Y 0.0000 0.0000 0.0000
Tm1 Tm 0.0000 0.5000 0.0000
Tm2 Tm 0.2500 0.2500 0.5000
Te1 Te 0.0000 0.2519 0.0000
Te2 Te 0.2462 0.5000 0.5000
# Uncorrected energy in eV/atom: -5.257
# Polymorph energy (0 for the lowest one) in eV per atom: 0.000
# Raw formation energy in eV/atom: -1.202